(1)
This record from Alexandria via LeMat-Bulk describes an optimized crystal structure of CaBeGa2Pt. The functional is PBE.

Lattice parameters (Å, degrees): 4.8441 4.8441 4.4103 90.00 90.00 90.00
Space group P4/mmm (No. 123)
One atom of each set of equivalent atoms:
1 Ca 0.0000 0.0000 0.0000
2 Be 0.5000 0.5000 0.0000
3 Ga 0.0000 0.5000 0.5000
4 Pt 0.5000 0.5000 0.5000

(2)
This record from Alexandria via LeMat-Bulk describes an optimized crystal structure of Ca2BeGaPt6. The functional is PBE.

Lattice parameters (Å, degrees): 5.6750 5.6750 20.0503 90.00 90.00 120.00
Space group R-3m (No. 166, hexagonal axes)
One atom of each set of equivalent atoms:
1 Ca 0.0000 0.0000 0.2104
2 Be 0.0000 0.0000 0.0000
3 Ga 0.0000 0.0000 0.5000
4 Pt 0.0120 0.5060 0.2655

(3)
This record from Alexandria via LeMat-Bulk describes an optimized crystal structure of Ca2BeGa4Pt3. The functional is PBE.

Lattice parameters (Å, degrees): 4.1133 4.1133 11.0256 90.00 90.00 90.00
Space group P-4m2 (No. 115)
One atom of each set of equivalent atoms:
1 Ca 0.0000 0.5000 0.2444
2 Be 0.5000 0.5000 0.0000
3 Ga 0.0000 0.0000 0.5000
4 Ga 0.0000 0.5000 0.8700
5 Ga 0.5000 0.5000 0.5000
6 Pt 0.0000 0.0000 0.0000
7 Pt 0.0000 0.5000 0.6398

(4)
This record from Alexandria via LeMat-Bulk describes an optimized crystal structure of Rb2CaBeGa. The functional is PBE.

Lattice parameters (Å, degrees): 6.7160 6.7160 5.9154 90.00 90.00 90.00
Space group P4/mmm (No. 123)
One atom of each set of equivalent atoms:
1 Rb 0.0000 0.5000 0.0000
2 Ca 0.0000 0.0000 0.5000
3 Be 0.5000 0.5000 0.5000
4 Ga 0.0000 0.0000 0.0000

| no. | Fermi-level density of states (states/eV/f.u.) | raw total energy (eV/atom) |
| --- | --- | --- |
| 1 | 1.55 | -3.840 |
| 2 | 4.57 | -5.376 |
| 3 | 5.75 | -4.489 |
| 4 | 4.31 | -1.375 |